The following is a PBE-GGA calculation of a geometry-optimized K3YAg2F9 structure, from the Alexandria database.

abc: 6.3516 6.3516 7.9968
angles: 90.00 90.00 120.00
Space group P-3m1 (No. 164)
Inequivalent atoms, fractional coordinates:
K (0.0000, 0.0000, 0.0000)
K (0.3333, 0.6667, 0.7379)
Y (0.0000, 0.0000, 0.5000)
Ag (0.3333, 0.6667, 0.1704)
F (0.0000, 0.5000, 0.0000)
F (0.1570, 0.3139, 0.3338)

Summary:
electronic total energy: -4.718 eV/atom
magnetization: 1.1 Bohr magnetons per cell
ΔE_f (raw): -2.56 eV/atom

---

The following is a PBE-GGA calculation of a geometry-optimized KYAgF6 structure, from the Alexandria database.

abc: 6.239 10.175 5.441
angles: 90.00 91.59 90.00
Space group C2 (No. 5)
Inequivalent atoms, fractional coordinates:
K (0.000, 0.000, 0.000)
Y (0.000, 0.331, 0.500)
Ag (0.000, 0.672, 0.500)
F (0.136, 0.508, 0.704)
F (0.157, 0.195, 0.741)
F (0.187, 0.822, 0.692)

Summary:
electronic total energy: -5.194 eV/atom
magnetization: 2.2 Bohr magnetons per cell
ΔE_f (raw): -2.79 eV/atom

---

The following is a PBE-GGA calculation of a geometry-optimized KYAg2F6 structure, from the Alexandria database.

abc: 6.264 6.270 6.496
angles: 90.01 118.80 119.92
Space group P1 (No. 1)
Inequivalent atoms, fractional coordinates:
K (0.000, 0.000, 0.000)
Y (0.987, 0.494, 0.480)
Ag (0.557, 0.278, 0.835)
Ag (0.560, 0.781, 0.341)
F (0.084, 0.414, 0.214)
F (0.098, 0.243, 0.677)
F (0.435, 0.854, 0.675)
F (0.545, 0.132, 0.216)
F (0.802, 0.673, 0.217)
F (0.825, 0.581, 0.679)

Summary:
electronic total energy: -5.026 eV/atom
magnetization: 0.0 Bohr magnetons per cell
ΔE_f (raw): -2.58 eV/atom